A relaxed Nb2HgGe2 crystal. Source: the Alexandria database, functional PBE.

```
Nb2HgGe2
1.0
7.378 0.000 0.000
0.000 7.378 0.000
0.000 0.000 3.381
Nb Hg Ge
4 2 4
direct
0.861 0.361 0.500
0.139 0.639 0.500
0.639 0.861 0.500
0.361 0.139 0.500
0.000 0.000 0.000
0.500 0.500 0.000
0.648 0.148 0.000
0.852 0.648 0.000
0.148 0.352 0.000
0.352 0.852 0.000
```

formation energy: 0.393 kcal/mol of atoms
M_tot: 0.000 μB per formula unit
ΔE to the lowest computed polymorph: 76 meV/atom
N(E_F): 0.3654 states/eV per atom